[1]
Entry from the Alexandria database: crystalline SmCdAu4 at its relaxed geometry (PBE).

```
12
Lattice="4.6187 0.0000 0.0000 0.0000 7.6147 0.0000 -2.2917 0.0000 7.1235" Properties=species:S:1:pos:R:3 pbc="T T T"
Sm 0.0078 1.9037 2.3889
Sm 2.3192 5.7110 4.7346
Cd 0.0063 5.7110 2.3189
Cd 2.3207 1.9037 4.8046
Au 0.0000 0.0000 0.0000
Au 0.0000 3.8073 0.0000
Au 0.0103 0.1425 4.9136
Au 0.0103 3.6648 4.9136
Au 0.0146 5.7110 6.9663
Au 2.3124 1.9037 0.1572
Au 2.3166 3.9498 2.2100
Au 2.3166 7.4722 2.2100
```

Calculated values
For the offset from the most stable computed form, the calculation gives 46 meV per atom. The magnetization comes out at 0.00 Bohr magnetons per cell. The space group is P2_1/m (11).

***

[2]
Entry from the Alexandria database: crystalline AcZrPt at its relaxed geometry (PBE).

```
6
Lattice="4.8118 0.0000 0.0000 0.0000 4.8118 0.0000 0.0000 0.0000 7.1301" Properties=species:S:1:pos:R:3 pbc="T T T"
Ac 1.2030 1.2030 0.8819
Ac 3.6089 3.6089 6.2482
Zr 1.2030 3.6089 3.5651
Zr 3.6089 1.2030 3.5651
Pt 1.2030 1.2030 4.8776
Pt 3.6089 3.6089 2.2525
```

Calculated values
For the calculated total energy, the calculation gives -42.13 eV per cell. The magnetization comes out at 0.00 Bohr magnetons per cell. The space group is P4/nmm (129).